A relaxed structure of YHfTl2. Source: Alexandria, functional PBE.

Lattice parameters (Å, degrees): 4.7952 4.7952 4.3149 90.00 90.00 90.00
Closest atoms and distances in Å follow each position.
Fractional positions:
Y 0.0000 0.0000 0.0000  8 Tl 3.23, 4 Hf 3.39
Hf 0.5000 0.5000 0.0000  8 Tl 3.23, 4 Y 3.39
Tl 0.0000 0.5000 0.5000  4 Hf 3.23, 4 Y 3.23, 4 Tl 3.39
Tl 0.5000 0.0000 0.5000  4 Hf 3.23, 4 Y 3.23, 4 Tl 3.39

For the formation energy, the calculation gives -16 kJ/mol of formula units. The total energy is -5.3292 eV/atom. Its space group is P4/mmm (123). As for the volume: 99.2 Å³ per cell. As for the density of states at the Fermi level: 1.064 states/eV/atom. The calculation puts the polymorph energy (0 for the lowest one) at 39.8 meV/atom.

A relaxed structure of NaZn2Ru. Source: Alexandria, functional PBE.

Lattice parameters (Å, degrees): 9.2413 9.2413 9.2413 153.22 153.22 38.23
Closest atoms and distances in Å follow each position.
Fractional positions:
Na 0.0000 0.0000 0.0000  4 Zn 2.83, 4 Ru 3.03
Na 0.7500 0.2500 0.5000  4 Zn 2.83, 4 Ru 3.03
Zn 0.2134 0.6250 0.0884  2 Ru 2.53, 2 Zn 2.55, 2 Na 2.83
Zn 0.3750 0.4634 0.5884  2 Ru 2.53, 2 Zn 2.55, 2 Na 2.83
Zn 0.5366 0.1250 0.9116  2 Ru 2.53, 2 Zn 2.55, 2 Na 2.83
Zn 0.8750 0.7866 0.4116  2 Ru 2.53, 2 Zn 2.55, 2 Na 2.83
Ru 0.2500 0.7500 0.5000  4 Zn 2.53
Ru 0.5000 0.5000 0.0000  4 Zn 2.53

For the formation energy, the calculation gives 232 kJ/mol of formula units. The total energy is -2.6846 eV/atom. Its space group is I-42d (122). As for the volume: 160.0 Å³ per cell. As for the density of states at the Fermi level: 0.579 states/eV/atom. The calculation puts the polymorph energy (0 for the lowest one) at 497.2 meV/atom.